1.
The following is a DFT calculation (GGA-PBE) of crystalline CaLa4Fe at its relaxed geometry.

abc: 6.642 6.642 6.642
angles: 60.00 60.00 60.00
Last column: magnetic moment on the atom in μB.
Fractional coordinates of all 6 atoms:
Ca 0.750 0.750 0.750  0.00
La 0.884 0.372 0.372  0.09
La 0.372 0.372 0.884  0.09
La 0.372 0.884 0.372  0.09
La 0.372 0.372 0.372  0.09
Fe 0.000 0.000 0.000  -3.19

Calculated values
V (Å³ per atom): 34.53
Symmetry: F-43m (216)
Excess energy over the best structure of this formula in the dataset (meV per atom): 551.0
DFT total energy (eV per atom): -4.399


2.
The following is a DFT calculation (GGA-PBE) of crystalline Al7Zn2Cr2 at its relaxed geometry.

abc: 5.200 5.200 6.573
angles: 100.89 100.89 101.68
Last column: magnetic moment on the atom in μB.
Fractional coordinates of all 11 atoms:
Al 0.895 0.508 0.167  -0.02
Al 0.492 0.105 0.833  -0.02
Al 0.105 0.492 0.833  -0.02
Al 0.508 0.895 0.167  -0.02
Al 0.000 0.000 0.000  -0.03
Al 0.190 0.190 0.456  -0.01
Al 0.810 0.810 0.544  -0.01
Zn 0.712 0.288 0.500  0.00
Zn 0.288 0.712 0.500  0.00
Cr 0.612 0.612 0.828  1.43
Cr 0.388 0.388 0.172  1.43

Calculated values
V (Å³ per atom): 15.10
Symmetry: C2/m (12)
DFT total energy (eV per atom): -4.453


3.
The following is a DFT calculation (GGA-PBE) of crystalline Fe2AgIr at its relaxed geometry.

abc: 2.896 2.896 6.806
angles: 90.00 90.00 90.00
Last column: magnetic moment on the atom in μB.
Fractional coordinates of all 4 atoms:
Ag 0.500 0.500 0.763  0.04
Fe 0.000 0.000 0.032  2.90
Fe 0.500 0.500 0.243  2.68
Ir 0.000 0.000 0.462  0.51

Calculated values
V (Å³ per atom): 14.27
Symmetry: P4mm (99)
DFT total energy (eV per atom): -6.924


4.
The following is a DFT calculation (GGA-PBE) of crystalline LaVAs2 at its relaxed geometry.

abc: 3.205 3.205 9.895
angles: 80.68 80.68 60.00
Fractional coordinates of all 4 atoms:
As 0.107 0.107 0.679
As 0.893 0.893 0.321
V 0.500 0.500 0.500
La 0.000 0.000 0.000

Calculated values
V (Å³ per atom): 21.62
Symmetry: R-3m (166)
Excess energy over the best structure of this formula in the dataset (meV per atom): 393.2
DFT total energy (eV per atom): -5.975


5.
The following is a DFT calculation (GGA-PBE) of crystalline GaAs2IrSe at its relaxed geometry.

abc: 4.711 4.711 4.829
angles: 90.00 90.00 90.00
Fractional coordinates of all 5 atoms:
As 0.000 0.500 0.000
As 0.500 0.000 0.000
Ir 0.500 0.500 0.500
Ga 0.000 0.000 0.000
Se 0.000 0.000 0.500

Calculated values
V (Å³ per atom): 21.43
Symmetry: P4/mmm (123)
E_form (uncorrected) (eV/atom): 1.201
Excess energy over the best structure of this formula in the dataset (meV per atom): 757.6
DFT total energy (eV per atom): -3.734


6.
The following is a DFT calculation (GGA-PBE) of crystalline Be2CoBMo at its relaxed geometry.

abc: 3.105 3.178 5.180
angles: 107.87 107.44 90.00
Fractional coordinates of all 5 atoms:
Be 0.703 0.203 0.406
Be 0.042 0.042 0.083
Co 0.195 0.695 0.391
B 0.840 0.840 0.680
Mo 0.432 0.432 0.864

Calculated values
V (Å³ per atom): 9.24
Symmetry: Imm2 (44)
DFT total energy (eV per atom): -6.784


Question: Number 5 is which compound?
Answer: GaAs2IrSe


Question: Which formula does entry 5 have?
Answer: GaAs2IrSe